(1)
A plane-wave DFT calculation with PBE-GGA was carried out for a geometry-optimized Y2CdSe structure.

```
Y2CdSe
1.0
4.5670 0.0000 0.0000
0.0000 1.9525 5.7580
0.0000 -1.9525 5.7580
Y Cd Se
2 1 1
direct
0.0000 0.0000 0.0000
0.5000 0.2700 0.2700
0.0000 0.7371 0.7371
0.5000 0.5288 0.5288
```

Computed properties:
- crystal system = orthorhombic
- excess energy over the best structure of this formula in the dataset (kJ per mole of atoms) = 19.41
- symmetry = Amm2, No. 38
- formation energy without anion corrections (eV/atom) = -0.84


(2)
A plane-wave DFT calculation with PBE-GGA was carried out for a geometry-optimized Cd2BiSb structure.

```
Cd2BiSb
1.0
4.8762 0.0000 0.0000
0.0000 4.8762 0.0000
0.0000 0.0000 4.5468
Cd Bi Sb
2 1 1
direct
0.0000 0.5000 0.0000
0.5000 0.0000 0.0000
0.0000 0.0000 0.5000
0.5000 0.5000 0.5000
```

Computed properties:
- crystal system = tetragonal
- symmetry = P4/mmm, No. 123
- formation energy without anion corrections (eV/atom) = 0.14


(3)
A plane-wave DFT calculation with PBE-GGA was carried out for a geometry-optimized CeTlInSn structure.

```
CeTlInSn
1.0
4.6484 0.0000 0.0000
0.0000 4.7030 0.0000
0.0000 0.0000 4.9066
Ce Tl In Sn
1 1 1 1
direct
0.0000 0.0000 0.0000
0.5000 0.0000 0.5000
0.0000 0.5000 0.5000
0.5000 0.5000 0.0000
```

Computed properties:
- calculated formation energy (eV/atom) = -0.4042
- crystal system = orthorhombic
- symmetry = Pmmm, No. 47


Number 1: mass density 5.97 g/cm³, Fermi-level density of states 2.76 states/eV per cell. Number 2: mass density 8.53 g/cm³, Fermi-level density of states 1.89 states/eV per cell. Number 3: mass density 8.95 g/cm³, Fermi-level density of states 6.13 states/eV per cell.